i | Crystalline Cr5Pb3 at its relaxed geometry, computed with PBE-GGA.

Lattice parameters (Å, degrees): 9.8370 8.1955 7.2757 105.63 89.37 142.68
Site moments in Bohr magnetons follow the coordinates.
Fractional positions:
Cr 0.4407 0.7449 0.1585  3.31
Cr 0.7426 0.5513 0.5441  -2.45
Cr 0.9941 0.2483 0.2644  3.14
Cr 0.4289 0.0573 0.3766  2.49
Cr 0.7117 0.0285 0.7963  3.30
Cr 0.1506 0.8664 0.6339  2.78
Cr 0.3481 0.7759 0.5389  -2.51
Cr 0.6893 0.3530 0.7932  3.13
Cr 0.1629 0.3978 0.6764  3.14
Cr 0.8363 0.2875 0.5355  -2.60
Pb 0.0618 0.0904 0.9208  -0.06
Pb 0.8251 0.4016 0.1940  -0.04
Pb 0.6590 0.7555 0.3993  -0.01
Pb 0.5395 0.5471 0.8668  -0.09
Pb 0.1655 0.0947 0.3597  -0.04
Pb 0.2374 0.7999 0.9416  -0.09

Computed properties:
The symmetry is P1 (1).


ii | Crystalline Cr5Pb3 at its relaxed geometry, computed with PBE-GGA.

Lattice parameters (Å, degrees): 8.3403 8.3403 5.0455 90.00 90.00 120.00
Site moments in Bohr magnetons follow the coordinates.
Fractional positions:
Pb 0.0000 0.3847 0.7500  -0.07
Pb 0.6153 0.0000 0.2500  -0.07
Pb 0.3847 0.0000 0.7500  -0.07
Pb 0.0000 0.6153 0.2500  -0.07
Pb 0.3847 0.3847 0.2500  -0.07
Pb 0.6153 0.6153 0.7500  -0.07
Cr 0.3333 0.6667 0.5000  2.21
Cr 0.0000 0.8524 0.7500  -0.13
Cr 0.1476 0.0000 0.2500  -0.13
Cr 0.8524 0.0000 0.7500  -0.13
Cr 0.8524 0.8524 0.2500  -0.13
Cr 0.6667 0.3333 0.0000  2.21
Cr 0.1476 0.1476 0.7500  -0.13
Cr 0.6667 0.3333 0.5000  2.21
Cr 0.0000 0.1476 0.2500  -0.13
Cr 0.3333 0.6667 0.0000  2.21

Computed properties:
The symmetry is P6_3/mcm (193).


Stability comparison, relative energies in meV per atom: i 0; ii 154